(1)
Density functional theory data (PBE) for InCuNiSeS2 after structural relaxation.

Summary:
- Raw total energy: -50.07 eV for the cell shown

Geometry as POSCAR:
```
InCuNiSeS2
1.0
-3.912 5.269 -0.892
0.759 -6.573 0.281
-1.975 0.190 9.786
S Ni Cu In Se
4 2 2 2 2
Direct
0.384 0.616 0.477
0.384 0.616 0.023
0.616 0.384 0.523
0.616 0.384 0.977
0.000 0.000 0.000
0.000 0.000 0.500
0.631 0.369 0.750
0.369 0.631 0.250
0.704 0.296 0.250
0.296 0.704 0.750
0.971 0.029 0.750
0.029 0.971 0.250
```

(2)
Density functional theory data (PBE) for InCuNiSe2S after structural relaxation.

Summary:
- Raw total energy: -48.10 eV for the cell shown

Geometry as POSCAR:
```
InCuNiSe2S
1.0
-3.287 4.459 -4.317
-0.188 -5.629 4.196
-2.010 5.254 6.956
Se In Cu Ni S
4 2 2 2 2
Direct
0.869 0.131 0.547
0.131 0.869 0.047
0.869 0.131 0.953
0.131 0.869 0.453
0.252 0.748 0.750
0.748 0.252 0.250
0.018 0.982 0.250
0.982 0.018 0.750
0.500 0.500 0.500
0.500 0.500 0.000
0.576 0.424 0.750
0.424 0.576 0.250
```

(3)
Density functional theory data (PBE) for InCuNiTe2S after structural relaxation.

Summary:
- Raw total energy: -45.82 eV for the cell shown

Geometry as POSCAR:
```
InCuNiTe2S
1.0
-7.601 -0.165 -0.077
6.667 -2.372 2.781
-0.207 6.667 6.180
Te In Cu Ni S
4 2 2 2 2
Direct
0.131 0.869 0.546
0.869 0.131 0.046
0.869 0.131 0.454
0.131 0.869 0.954
0.241 0.759 0.250
0.759 0.241 0.750
0.988 0.012 0.250
0.012 0.988 0.750
0.500 0.500 0.000
0.500 0.500 0.500
0.433 0.567 0.750
0.567 0.433 0.250
```